Record 1
Below is a geometry-optimized Mg2InGa structure, with properties calculated at the PBE-GGA level.

```
data_Mg2InGa
_chemical_formula_sum 'Mg2 In1 Ga1'
_cell_length_a 4.529
_cell_length_b 4.529
_cell_length_c 4.177
_cell_angle_alpha 90.00
_cell_angle_beta 90.00
_cell_angle_gamma 90.00
_symmetry_space_group_name_H-M 'P 4/m m m'
_symmetry_Int_Tables_number 123
_symmetry_space_group_name_Hall '-P 4 2'
loop_
_atom_site_label
_atom_site_type_symbol
_atom_site_fract_x
_atom_site_fract_y
_atom_site_fract_z
Mg1 Mg 0.000 0.500 0.000
In1 In 0.000 0.000 0.500
Ga1 Ga 0.500 0.500 0.500
```

Properties
Fermi-level density of states in states/eV/atom: 0.201
Energy above the lowest structure with this stoichiometry in eV/atom: 0.000


Record 2
Below is a geometry-optimized Mg3In2Ga2 structure, with properties calculated at the PBE-GGA level.

```
data_Mg3In2Ga2
_chemical_formula_sum 'Mg6 In4 Ga4'
_cell_length_a 13.430
_cell_length_b 3.380
_cell_length_c 7.180
_cell_angle_alpha 90.00
_cell_angle_beta 108.28
_cell_angle_gamma 90.00
_symmetry_space_group_name_H-M 'C 1 2/m 1'
_symmetry_Int_Tables_number 12
loop_
_symmetry_equiv_pos_as_xyz
'x,y,z'
'-x,-y,-z'
'-x,y,-z'
'x,-y,z'
'x+1/2,y+1/2,z'
'-x+1/2,-y+1/2,-z'
'-x+1/2,y+1/2,-z'
'x+1/2,-y+1/2,z'
loop_
_atom_site_label
_atom_site_type_symbol
_atom_site_fract_x
_atom_site_fract_y
_atom_site_fract_z
Mg1 Mg 0.000 0.000 0.000
Mg2 Mg 0.219 0.500 0.161
In1 In 0.120 0.000 0.430
Ga1 Ga 0.088 0.500 0.753
```

Properties
Fermi-level density of states in states/eV/atom: 0.307
E in eV/atom: -2.388


Record 3
Below is a geometry-optimized Mg5InGa structure, with properties calculated at the PBE-GGA level.

```
data_Mg5InGa
_chemical_formula_sum 'Mg5 In1 Ga1'
_cell_length_a 4.589
_cell_length_b 4.589
_cell_length_c 7.639
_cell_angle_alpha 90.00
_cell_angle_beta 90.00
_cell_angle_gamma 90.00
_symmetry_space_group_name_H-M 'P 4/m m m'
_symmetry_Int_Tables_number 123
_symmetry_space_group_name_Hall '-P 4 2'
loop_
_atom_site_label
_atom_site_type_symbol
_atom_site_fract_x
_atom_site_fract_y
_atom_site_fract_z
Mg1 Mg 0.000 0.000 0.000
Mg2 Mg 0.000 0.500 0.292
In1 In 0.500 0.500 0.000
Ga1 Ga 0.500 0.500 0.500
```

Properties
Fermi-level density of states in states/eV/atom: 0.420
Energy above the lowest structure with this stoichiometry in eV/atom: 0.000


Record 4
Below is a geometry-optimized Mg4In2Ga structure, with properties calculated at the PBE-GGA level.

```
data_Mg4In2Ga
_chemical_formula_sum 'Mg16 In8 Ga4'
_cell_length_a 4.964
_cell_length_b 8.370
_cell_length_c 15.556
_cell_angle_alpha 90.00
_cell_angle_beta 90.00
_cell_angle_gamma 90.00
_symmetry_space_group_name_H-M 'C m c m'
_symmetry_Int_Tables_number 63
_symmetry_space_group_name_Hall '-C 2c 2'
loop_
_atom_site_label
_atom_site_type_symbol
_atom_site_fract_x
_atom_site_fract_y
_atom_site_fract_z
Mg1 Mg 0.000 0.000 0.000
Mg2 Mg 0.000 0.318 0.150
Mg3 Mg 0.000 0.350 0.750
In1 In 0.000 0.338 0.561
Ga1 Ga 0.000 0.014 0.750
```

Properties
Fermi-level density of states in states/eV/atom: 0.521
Energy above the lowest structure with this stoichiometry in eV/atom: 0.018


Record 5
Below is a geometry-optimized MgInGa structure, with properties calculated at the PBE-GGA level.

```
data_MgInGa
_chemical_formula_sum 'Mg4 In4 Ga4'
_cell_length_a 5.339
_cell_length_b 9.264
_cell_length_c 5.599
_cell_angle_alpha 90.00
_cell_angle_beta 106.63
_cell_angle_gamma 90.00
_symmetry_space_group_name_H-M 'C 1 2/m 1'
_symmetry_Int_Tables_number 12
loop_
_symmetry_equiv_pos_as_xyz
'x,y,z'
'-x,-y,-z'
'-x,y,-z'
'x,-y,z'
'x+1/2,y+1/2,z'
'-x+1/2,-y+1/2,-z'
'-x+1/2,y+1/2,-z'
'x+1/2,-y+1/2,z'
loop_
_atom_site_label
_atom_site_type_symbol
_atom_site_fract_x
_atom_site_fract_y
_atom_site_fract_z
Mg1 Mg 0.000 0.169 0.000
In1 In 0.000 0.000 0.500
In2 In 0.000 0.500 0.000
Ga1 Ga 0.000 0.333 0.500
```

Properties
Fermi-level density of states in states/eV/atom: 0.228
E in eV/atom: -2.503


Record 6
Below is a geometry-optimized Mg5InGa2 structure, with properties calculated at the PBE-GGA level.

```
data_Mg5InGa2
_chemical_formula_sum 'Mg5 In1 Ga2'
_cell_length_a 6.071
_cell_length_b 6.072
_cell_length_c 6.106
_cell_angle_alpha 113.97
_cell_angle_beta 116.01
_cell_angle_gamma 98.62
_symmetry_space_group_name_H-M 'P 1'
_symmetry_Int_Tables_number 1
loop_
_symmetry_equiv_pos_as_xyz
'x,y,z'
loop_
_atom_site_label
_atom_site_type_symbol
_atom_site_fract_x
_atom_site_fract_y
_atom_site_fract_z
Mg1 Mg 0.000 0.000 0.000
Mg2 Mg 0.025 0.052 0.527
Mg3 Mg 0.474 0.503 0.530
Mg4 Mg 0.519 0.059 0.016
Mg5 Mg 0.954 0.496 0.016
In1 In 0.997 0.553 0.552
Ga1 Ga 0.489 0.568 0.061
Ga2 Ga 0.491 0.987 0.478
```

Properties
Fermi-level density of states in states/eV/atom: 0.327
Energy above the lowest structure with this stoichiometry in eV/atom: 0.000